# TaMn2Be

An optimized crystal structure of TaMn2Be (PBE, the Alexandria database).

Unit cell a=3.000 b=3.000 c=5.441 alpha=90.00 beta=90.00 gamma=90.00
Positions (direct):
Ta1 0.000 0.000 0.000
Mn1 0.500 0.500 0.286
Mn2 0.500 0.500 0.714
Be1 0.000 0.000 0.500

Total energy: -8.552 eV per atom
DFT formation energy: -0.07 eV/atom


# Pm2CdGa3Pd4

An optimized crystal structure of Pm2CdGa3Pd4 (PBE, the Alexandria database).

Unit cell a=4.115 b=4.115 c=11.696 alpha=90.00 beta=90.00 gamma=90.00
Positions (direct):
Pm1 0.000 0.500 0.247
Pm2 0.500 0.000 0.753
Cd1 0.000 0.000 0.500
Ga1 0.000 0.500 0.872
Ga2 0.500 0.000 0.128
Ga3 0.500 0.500 0.500
Pd1 0.000 0.000 0.000
Pd2 0.000 0.500 0.657
Pd3 0.500 0.000 0.343
Pd4 0.500 0.500 0.000

Total energy: -4.747 eV per atom
DFT formation energy: -0.72 eV/atom


# Ho2PbAu

An optimized crystal structure of Ho2PbAu (PBE, the Alexandria database).

Unit cell a=3.664 b=3.664 c=7.612 alpha=90.00 beta=90.00 gamma=90.00
Positions (direct):
Ho1 0.000 0.000 0.226
Ho2 0.000 0.000 0.774
Pb1 0.500 0.500 0.500
Au1 0.500 0.500 0.000

Total energy: -4.662 eV per atom
DFT formation energy: -0.63 eV/atom


# Sr2Se

An optimized crystal structure of Sr2Se (PBE, the Alexandria database).

Unit cell a=5.667 b=5.667 c=3.732 alpha=90.00 beta=90.00 gamma=120.00
Positions (direct):
Sr1 0.333 0.667 0.000
Sr2 0.667 0.333 0.000
Se1 0.000 0.000 0.500

Formation energy without anion corrections: -0.1945 eV per atom
Total energy: -2.477 eV per atom


The calculation returns the following density of states at the Fermi level values, one per record and in order: 3.00; 6.53; 3.13; 3.61 states/eV/f.u..